[1]
An optimized crystal structure of Na4Ag2SbAs. Source: OQMD via LeMat-Bulk, functional PBE.

```
data_Na4Ag2SbAs
_symmetry_space_group_name_H-M 'A m m 2'
_symmetry_Int_Tables_number 38
_cell_length_a 5.694
_cell_length_b 9.022
_cell_length_c 7.578
_cell_angle_alpha 90.00
_cell_angle_beta 90.00
_cell_angle_gamma 90.00
loop_
_symmetry_equiv_pos_as_xyz
'x,y,z'
'-x,-y,z'
'-x,y,z'
'x,-y,z'
'x,y+1/2,z+1/2'
'-x,-y+1/2,z+1/2'
'-x,y+1/2,z+1/2'
'x,-y+1/2,z+1/2'
loop_
_atom_site_label
_atom_site_type_symbol
_atom_site_fract_x
_atom_site_fract_y
_atom_site_fract_z
_atom_site_occupancy
Na1 Na 0.000 0.174 0.000 1
Na2 Na 0.500 0.182 0.698 1
Ag1 Ag 0.252 0.000 0.334 1
Sb1 Sb 0.000 0.000 0.638 1
As1 As 0.500 0.000 0.051 1
```

Computed properties:
E_tot = -2.8331 eV per atom

***

[2]
An optimized crystal structure of Nb2AgAs. Source: OQMD via LeMat-Bulk, functional PBE.

```
data_Nb2AgAs
_symmetry_space_group_name_H-M 'F -4 3 m'
_symmetry_Int_Tables_number 216
_symmetry_space_group_name_Hall 'F -4 2 3'
_cell_length_a 6.576
_cell_length_b 6.576
_cell_length_c 6.576
_cell_angle_alpha 90.00
_cell_angle_beta 90.00
_cell_angle_gamma 90.00
loop_
_atom_site_label
_atom_site_type_symbol
_atom_site_fract_x
_atom_site_fract_y
_atom_site_fract_z
_atom_site_occupancy
Nb1 Nb 0.000 0.000 0.000 1
Nb2 Nb 0.250 0.250 0.250 1
Ag1 Ag 0.000 0.000 0.500 1
As1 As 0.250 0.250 0.750 1
```

Computed properties:
E_tot = -6.5005 eV per atom
M_tot = 0.01 μB per atom

***

[3]
An optimized crystal structure of NbAg2As. Source: OQMD via LeMat-Bulk, functional PBE.

```
data_NbAg2As
_symmetry_space_group_name_H-M 'F -4 3 m'
_symmetry_Int_Tables_number 216
_symmetry_space_group_name_Hall 'F -4 2 3'
_cell_length_a 6.519
_cell_length_b 6.519
_cell_length_c 6.519
_cell_angle_alpha 90.00
_cell_angle_beta 90.00
_cell_angle_gamma 90.00
loop_
_atom_site_label
_atom_site_type_symbol
_atom_site_fract_x
_atom_site_fract_y
_atom_site_fract_z
_atom_site_occupancy
Nb1 Nb 0.000 0.000 0.000 1
Ag1 Ag 0.000 0.000 0.500 1
Ag2 Ag 0.250 0.250 0.250 1
As1 As 0.250 0.250 0.750 1
```

Computed properties:
E_tot = -4.8573 eV per atom
M_tot = 0.01 μB per atom

***

[4]
An optimized crystal structure of Nb3AgAs5. Source: OQMD via LeMat-Bulk, functional PBE.

```
data_Nb3AgAs5
_symmetry_space_group_name_H-M 'P 6/m m m'
_symmetry_Int_Tables_number 191
_symmetry_space_group_name_Hall '-P 6 2'
_cell_length_a 5.5530
_cell_length_b 5.5530
_cell_length_c 7.4592
_cell_angle_alpha 90.00
_cell_angle_beta 90.00
_cell_angle_gamma 120.00
loop_
_atom_site_label
_atom_site_type_symbol
_atom_site_fract_x
_atom_site_fract_y
_atom_site_fract_z
_atom_site_occupancy
Nb1 Nb 0.0000 0.5000 0.0000 1
Ag1 Ag 0.0000 0.0000 0.5000 1
As1 As 0.0000 0.0000 0.0000 1
As2 As 0.3333 0.6667 0.2929 1
```

Computed properties:
E_tot = -6.2579 eV per atom
M_tot = 0.00 μB per atom